[1]
! SrZn2SiPt (PBE-GGA, relaxed); values from VASP
! final energy: -3.6631 eV per atom
! SG: Imm2, No. 44
&SYSTEM
  ibrav = 0, nat = 5, ntyp = 4
/
ATOMIC_SPECIES
Sr 87.62 Sr.upf
Zn 65.41 Zn.upf
Si 28.09 Si.upf
Pt 195.08 Pt.upf
CELL_PARAMETERS angstrom
-2.166 2.180 5.189
2.166 -2.180 5.189
2.166 2.180 -5.189
ATOMIC_POSITIONS crystal
Sr 0.000 0.000 0.000
Zn 0.616 0.616 0.000
Zn 0.750 0.250 0.500
Si 0.369 0.369 0.000
Pt 0.262 0.762 0.500

[2]
! Ge4Br2Cl5 (PBE-GGA, relaxed); values from VASP
! final energy: -3.3261 eV per atom
! SG: C2/m, No. 12
&SYSTEM
  ibrav = 0, nat = 11, ntyp = 3
/
ATOMIC_SPECIES
Ge 72.64 Ge.upf
Br 79.90 Br.upf
Cl 35.45 Cl.upf
CELL_PARAMETERS angstrom
6.302 -3.663 0.000
6.302 3.663 0.000
-5.776 0.000 7.518
ATOMIC_POSITIONS crystal
Ge 0.112 0.112 0.267
Ge 0.323 0.323 0.179
Ge 0.677 0.677 0.821
Ge 0.888 0.888 0.733
Br 0.199 0.199 0.573
Br 0.801 0.801 0.427
Cl 0.178 0.686 0.135
Cl 0.314 0.822 0.865
Cl 0.500 0.500 0.500
Cl 0.686 0.178 0.135
Cl 0.822 0.314 0.865

[3]
! NaPOsO6 (PBE-GGA, relaxed); values from VASP
! final energy: -6.7548 eV per atom
! SG: P312, No. 149
&SYSTEM
  ibrav = 0, nat = 9, ntyp = 4
/
ATOMIC_SPECIES
Na 22.99 Na.upf
P 30.97 P.upf
Os 190.23 Os.upf
O 16.00 O.upf
CELL_PARAMETERS angstrom
4.922 0.000 0.000
-2.461 4.262 0.000
0.000 0.000 5.212
ATOMIC_POSITIONS crystal
Na 0.000 0.000 0.000
P 0.667 0.333 0.500
Os 0.333 0.667 0.500
O 0.397 0.032 0.691
O 0.397 0.365 0.309
O 0.635 0.032 0.309
O 0.635 0.603 0.691
O 0.968 0.365 0.691
O 0.968 0.603 0.309

[4]
! KPmBi (PBE-GGA, relaxed); values from VASP
! final energy: -3.5699 eV per atom
! SG: I4mm, No. 107
! DFT formation energy: -327 meV/atom
&SYSTEM
  ibrav = 0, nat = 3, ntyp = 3
/
ATOMIC_SPECIES
K 39.10 K.upf
Pm 145.00 Pm.upf
Bi 208.98 Bi.upf
CELL_PARAMETERS angstrom
-2.187 2.187 7.179
2.187 -2.187 7.179
2.187 2.187 -7.179
ATOMIC_POSITIONS crystal
K 0.000 0.000 0.000
Pm 0.268 0.268 0.000
Bi 0.719 0.719 0.000

[5]
! NdPaPb (PBE-GGA, relaxed); values from VASP
! final energy: -5.9019 eV per atom
! SG: P4/nmm, No. 129
! DFT formation energy: 89 meV/atom
&SYSTEM
  ibrav = 0, nat = 6, ntyp = 3
/
ATOMIC_SPECIES
Nd 144.24 Nd.upf
Pa 231.04 Pa.upf
Pb 207.20 Pb.upf
CELL_PARAMETERS angstrom
4.214 0.000 0.000
0.000 4.214 0.000
0.000 0.000 9.897
ATOMIC_POSITIONS crystal
Nd 0.250 0.250 0.245
Nd 0.750 0.750 0.755
Pa 0.250 0.250 0.573
Pa 0.750 0.750 0.427
Pb 0.250 0.250 0.903
Pb 0.750 0.750 0.097

[6]
! La2ZnNi4Sn3 (PBE-GGA, relaxed); values from VASP
! final energy: -5.1398 eV per atom
! SG: P-4m2, No. 115
! DFT formation energy: -514 meV/atom
&SYSTEM
  ibrav = 0, nat = 10, ntyp = 4
/
ATOMIC_SPECIES
La 138.91 La.upf
Zn 65.41 Zn.upf
Ni 58.69 Ni.upf
Sn 118.71 Sn.upf
CELL_PARAMETERS angstrom
4.467 0.000 0.000
0.000 4.467 0.000
0.000 0.000 10.038
ATOMIC_POSITIONS crystal
La 0.000 0.500 0.244
La 0.500 0.000 0.756
Zn 0.000 0.000 0.500
Ni 0.000 0.000 0.000
Ni 0.000 0.500 0.620
Ni 0.500 0.000 0.380
Ni 0.500 0.500 0.000
Sn 0.000 0.500 0.872
Sn 0.500 0.000 0.128
Sn 0.500 0.500 0.500